No. 1
A geometry-optimized Cu7Te4 structure, computed with PBE.

Lattice parameters (Å, degrees): 7.232 28.446 14.163 90.00 90.14 90.00
Element x y z (fractional)
Cu  0.668  0.545  0.022
Cu  0.415  0.616  0.082
Cu  0.430  0.330  0.082
Cu  0.424  0.471  0.085
Cu  0.577  0.398  0.166
Cu  0.872  0.543  0.167
Cu  0.561  0.679  0.190
Cu  0.682  0.320  0.237
Cu  0.656  0.477  0.238
Cu  0.319  0.457  0.254
Cu  0.338  0.619  0.258
Cu  0.731  0.613  0.258
Cu  0.369  0.342  0.270
Cu  0.062  0.666  0.312
Cu  0.427  0.538  0.326
Cu  0.121  0.394  0.336
Cu  0.565  0.613  0.411
Cu  0.568  0.462  0.413
Cu  0.575  0.328  0.415
Cu  0.324  0.394  0.479
Cu  0.334  0.679  0.482
Cu  0.666  0.679  0.518
Cu  0.676  0.394  0.521
Cu  0.425  0.328  0.585
Cu  0.432  0.462  0.587
Cu  0.435  0.613  0.589
Cu  0.879  0.394  0.664
Cu  0.573  0.538  0.674
Cu  0.938  0.666  0.688
Cu  0.631  0.342  0.730
Cu  0.269  0.613  0.742
Cu  0.662  0.619  0.742
Cu  0.681  0.457  0.746
Cu  0.344  0.477  0.762
Cu  0.318  0.320  0.763
Cu  0.439  0.679  0.810
Cu  0.128  0.543  0.833
Cu  0.423  0.398  0.834
Cu  0.576  0.471  0.915
Cu  0.570  0.330  0.918
Cu  0.585  0.616  0.918
Cu  0.332  0.545  0.978
Te  0.772  0.310  0.071
Te  0.790  0.462  0.073
Te  0.789  0.626  0.079
Te  0.194  0.390  0.147
Te  0.223  0.691  0.157
Te  0.238  0.541  0.163
Te  0.765  0.393  0.333
Te  0.736  0.698  0.345
Te  0.788  0.538  0.352
Te  0.227  0.310  0.421
Te  0.207  0.474  0.424
Te  0.203  0.602  0.424
Te  0.797  0.602  0.576
Te  0.793  0.474  0.576
Te  0.773  0.310  0.579
Te  0.212  0.538  0.648
Te  0.264  0.698  0.655
Te  0.235  0.393  0.667
Te  0.762  0.541  0.837
Te  0.777  0.691  0.843
Te  0.806  0.390  0.853
Te  0.211  0.626  0.921
Te  0.210  0.462  0.927
Te  0.228  0.310  0.929

Calculated values
Uncorrected energy (eV per cell): -229.685
Energy relative to the lowest polymorph listed for this composition (kJ/mol of atoms): 9.0
Theoretical density (kg/m3): 3266

No. 2
A geometry-optimized Cu13Te2 structure, computed with PBE.

Lattice parameters (Å, degrees): 4.395 4.395 29.418 91.62 91.62 36.05
Element x y z (fractional)
Cu  0.140  0.140  0.287
Cu  0.866  0.866  0.323
Cu  0.593  0.593  0.359
Cu  0.319  0.319  0.394
Cu  0.045  0.045  0.430
Cu  0.772  0.772  0.465
Cu  0.500  0.500  0.500
Cu  0.228  0.228  0.535
Cu  0.955  0.955  0.570
Cu  0.681  0.681  0.606
Cu  0.407  0.407  0.641
Cu  0.134  0.134  0.677
Cu  0.860  0.860  0.713
Te  0.407  0.407  0.236
Te  0.593  0.593  0.764

Calculated values
Uncorrected energy (eV per cell): -53.344
Energy relative to the lowest polymorph listed for this composition (kJ/mol of atoms): 6.3
Theoretical density (kg/m3): 5371

No. 3
A geometry-optimized Cu13Te2 structure, computed with PBE.

Lattice parameters (Å, degrees): 10.285 2.717 26.451 90.00 91.11 90.00
Element x y z (fractional)
Cu  0.465  0.250  0.299
Cu  0.665  0.750  0.315
Cu  0.064  0.750  0.338
Cu  0.863  0.250  0.340
Cu  0.264  0.250  0.360
Cu  0.471  0.750  0.379
Cu  0.672  0.250  0.397
Cu  0.877  0.750  0.417
Cu  0.078  0.250  0.421
Cu  0.284  0.750  0.440
Cu  0.489  0.250  0.460
Cu  0.694  0.750  0.479
Cu  0.900  0.250  0.497
Cu  0.100  0.750  0.503
Cu  0.306  0.250  0.521
Cu  0.511  0.750  0.540
Cu  0.716  0.250  0.560
Cu  0.922  0.750  0.579
Cu  0.123  0.250  0.583
Cu  0.328  0.750  0.603
Cu  0.529  0.250  0.621
Cu  0.736  0.750  0.640
Cu  0.137  0.750  0.660
Cu  0.936  0.250  0.662
Cu  0.335  0.250  0.685
Cu  0.535  0.750  0.701
Te  0.884  0.250  0.244
Te  0.256  0.750  0.263
Te  0.744  0.250  0.737
Te  0.116  0.750  0.756

Calculated values
Uncorrected energy (eV per cell): -105.433
Energy relative to the lowest polymorph listed for this composition (kJ/mol of atoms): 10.4
Theoretical density (kg/m3): 4859

No. 4
A geometry-optimized Cu9Te2 structure, computed with PBE.

Lattice parameters (Å, degrees): 2.899 2.899 32.650 90.00 90.00 120.00
Element x y z (fractional)
Cu  0.000  0.000  0.000
Cu  0.667  0.333  0.056
Cu  0.333  0.667  0.113
Cu  0.000  0.000  0.170
Cu  0.667  0.333  0.227
Cu  0.333  0.667  0.773
Cu  0.000  0.000  0.830
Cu  0.667  0.333  0.887
Cu  0.333  0.667  0.944
Te  0.333  0.667  0.301
Te  0.667  0.333  0.699

Calculated values
Uncorrected energy (eV per cell): -36.096
Energy relative to the lowest polymorph listed for this composition (kJ/mol of atoms): 25.0
Theoretical density (kg/m3): 5780

No. 5
A geometry-optimized Cu4Te structure, computed with PBE.

Lattice parameters (Å, degrees): 4.449 5.830 28.659 88.36 90.00 73.73
Element x y z (fractional)
Cu  0.540  0.600  0.305
Cu  0.964  0.815  0.325
Cu  0.398  0.005  0.346
Cu  0.821  0.227  0.361
Cu  0.257  0.443  0.375
Cu  0.683  0.648  0.392
Cu  0.111  0.852  0.409
Cu  0.552  0.066  0.427
Cu  0.987  0.274  0.442
Cu  0.419  0.482  0.458
Cu  0.848  0.687  0.475
Cu  0.281  0.896  0.491
Cu  0.719  0.104  0.509
Cu  0.152  0.313  0.525
Cu  0.581  0.518  0.542
Cu  0.013  0.726  0.558
Cu  0.448  0.934  0.573
Cu  0.889  0.148  0.591
Cu  0.317  0.352  0.608
Cu  0.743  0.557  0.625
Cu  0.179  0.773  0.639
Cu  0.602  0.995  0.654
Cu  0.036  0.185  0.675
Cu  0.460  0.400  0.695
Te  0.373  0.700  0.213
Te  0.795  0.003  0.240
Te  0.121  0.334  0.286
Te  0.879  0.666  0.714
Te  0.205  0.997  0.760
Te  0.627  0.300  0.787

Calculated values
Uncorrected energy (eV per cell): -106.358
Energy relative to the lowest polymorph listed for this composition (kJ/mol of atoms): 1.4
Theoretical density (kg/m3): 5332

No. 6
A geometry-optimized Cu7Te4 structure, computed with PBE.

Lattice parameters (Å, degrees): 7.208 8.221 36.881 90.00 90.33 90.00
Element x y z (fractional)
Cu  0.413  0.500  0.331
Cu  0.569  0.241  0.344
Cu  0.569  0.759  0.344
Cu  0.114  0.500  0.369
Cu  0.392  0.000  0.369
Cu  0.307  0.271  0.397
Cu  0.307  0.729  0.397
Cu  0.655  0.210  0.409
Cu  0.655  0.790  0.409
Cu  0.575  0.500  0.430
Cu  0.874  0.000  0.436
Cu  0.426  0.244  0.466
Cu  0.426  0.756  0.466
Cu  0.671  0.000  0.493
Cu  0.329  0.000  0.507
Cu  0.574  0.244  0.534
Cu  0.574  0.756  0.534
Cu  0.126  0.000  0.564
Cu  0.425  0.500  0.570
Cu  0.345  0.210  0.591
Cu  0.345  0.790  0.591
Cu  0.693  0.271  0.603
Cu  0.693  0.729  0.603
Cu  0.608  0.000  0.631
Cu  0.886  0.500  0.631
Cu  0.431  0.241  0.656
Cu  0.431  0.759  0.656
Cu  0.587  0.500  0.669
Te  0.220  0.239  0.328
Te  0.220  0.761  0.328
Te  0.786  0.000  0.362
Te  0.747  0.500  0.365
Te  0.235  0.000  0.435
Te  0.206  0.500  0.441
Te  0.790  0.279  0.471
Te  0.790  0.721  0.471
Te  0.210  0.279  0.529
Te  0.210  0.721  0.529
Te  0.794  0.500  0.559
Te  0.765  0.000  0.565
Te  0.253  0.500  0.635
Te  0.214  0.000  0.638
Te  0.780  0.239  0.672
Te  0.780  0.761  0.672

Calculated values
Uncorrected energy (eV per cell): -155.783
Energy relative to the lowest polymorph listed for this composition (kJ/mol of atoms): 3.2
Theoretical density (kg/m3): 2903

Repeat the first record exactly.
A geometry-optimized Cu7Te4 structure, computed with PBE.

Lattice parameters (Å, degrees): 7.232 28.446 14.163 90.00 90.14 90.00
Element x y z (fractional)
Cu  0.668  0.545  0.022
Cu  0.415  0.616  0.082
Cu  0.430  0.330  0.082
Cu  0.424  0.471  0.085
Cu  0.577  0.398  0.166
Cu  0.872  0.543  0.167
Cu  0.561  0.679  0.190
Cu  0.682  0.320  0.237
Cu  0.656  0.477  0.238
Cu  0.319  0.457  0.254
Cu  0.338  0.619  0.258
Cu  0.731  0.613  0.258
Cu  0.369  0.342  0.270
Cu  0.062  0.666  0.312
Cu  0.427  0.538  0.326
Cu  0.121  0.394  0.336
Cu  0.565  0.613  0.411
Cu  0.568  0.462  0.413
Cu  0.575  0.328  0.415
Cu  0.324  0.394  0.479
Cu  0.334  0.679  0.482
Cu  0.666  0.679  0.518
Cu  0.676  0.394  0.521
Cu  0.425  0.328  0.585
Cu  0.432  0.462  0.587
Cu  0.435  0.613  0.589
Cu  0.879  0.394  0.664
Cu  0.573  0.538  0.674
Cu  0.938  0.666  0.688
Cu  0.631  0.342  0.730
Cu  0.269  0.613  0.742
Cu  0.662  0.619  0.742
Cu  0.681  0.457  0.746
Cu  0.344  0.477  0.762
Cu  0.318  0.320  0.763
Cu  0.439  0.679  0.810
Cu  0.128  0.543  0.833
Cu  0.423  0.398  0.834
Cu  0.576  0.471  0.915
Cu  0.570  0.330  0.918
Cu  0.585  0.616  0.918
Cu  0.332  0.545  0.978
Te  0.772  0.310  0.071
Te  0.790  0.462  0.073
Te  0.789  0.626  0.079
Te  0.194  0.390  0.147
Te  0.223  0.691  0.157
Te  0.238  0.541  0.163
Te  0.765  0.393  0.333
Te  0.736  0.698  0.345
Te  0.788  0.538  0.352
Te  0.227  0.310  0.421
Te  0.207  0.474  0.424
Te  0.203  0.602  0.424
Te  0.797  0.602  0.576
Te  0.793  0.474  0.576
Te  0.773  0.310  0.579
Te  0.212  0.538  0.648
Te  0.264  0.698  0.655
Te  0.235  0.393  0.667
Te  0.762  0.541  0.837
Te  0.777  0.691  0.843
Te  0.806  0.390  0.853
Te  0.211  0.626  0.921
Te  0.210  0.462  0.927
Te  0.228  0.310  0.929

Calculated values
Uncorrected energy (eV per cell): -229.685
Energy relative to the lowest polymorph listed for this composition (kJ/mol of atoms): 9.0
Theoretical density (kg/m3): 3266

Among the records above, which one has the highest uncorrected energy? Cu9Te2

What is the uncorrected energy in the fourth record? -36.096 eV per cell